A plane-wave DFT calculation with PBE was carried out for crystalline LaNdY5Tm2 at its relaxed geometry.

Total moment   0.000 μB/f.u.
Final energy   -5.504 eV per atom
DFT formation energy   158 meV/atom

a = 5.754 Å, b = 21.536 Å, c = 9.729 Å
α = 90.00°, β = 90.00°, γ = 90.00°
Space group Cmc2_1 (No. 36)
Unique sites:
La (0.000, 0.096, 0.000)
Nd (0.000, 0.308, 0.605)
Y (0.000, 0.029, 0.326)
Y (0.000, 0.107, 0.620)
Y (0.000, 0.193, 0.300)
Y (0.000, 0.233, 0.918)
Y (0.000, 0.488, 0.602)
Tm (0.000, 0.364, 0.285)
Tm (0.000, 0.387, 0.908)

A plane-wave DFT calculation with PBE was carried out for crystalline PaNb2O6 at its relaxed geometry.

Total moment   0.000 μB/f.u.
Final energy   -9.350 eV per atom

a = 9.2866 Å, b = 9.2866 Å, c = 5.0877 Å
α = 90.00°, β = 90.00°, γ = 120.00°
Space group P-3m1 (No. 164)
Unique sites:
Pa (0.0000, 0.0000, 0.0000)
Pa (0.3333, 0.6667, 0.4820)
Nb (0.0000, 0.3571, 0.0000)
O (0.1127, 0.5564, 0.7328)
O (0.1216, 0.2433, 0.8033)
O (0.2194, 0.4387, 0.2178)